A relaxed La3Pm8Th crystal. Source: Alexandria via LeMat-Bulk, functional PBE.

As for the magnetization: 0.0 Bohr magnetons per cell. Its density of states at the Fermi level is 17.5 states/eV/f.u. The formation energy comes out at 0.54 eV/atom. The calculation puts the final energy at -4.4771 eV/atom.

The structure belongs to space group I-42m (No. 121); the cell edges are 8.937, 8.937 and 11.558 Å and the angles 90.00°, 90.00° and 90.00°. The inequivalent atoms are La at (0.000, 0.000, 0.000), La at (0.000, 0.500, 0.250), Pm at (0.121, 0.121, 0.749), Pm at (0.246, 0.246, 0.006) and Th at (0.000, 0.000, 0.500).

A relaxed La2Pm3Th4 crystal. Source: Alexandria via LeMat-Bulk, functional PBE.

As for the magnetization: 0.0 Bohr magnetons per cell. Its density of states at the Fermi level is 15.2 states/eV/f.u. The formation energy comes out at 0.07 eV/atom. The calculation puts the final energy at -5.9043 eV/atom.

The structure belongs to space group C2/m (No. 12); the cell edges are 18.940, 3.632 and 9.877 Å and the angles 90.00°, 115.44° and 90.00°. The inequivalent atoms are La at (0.164, 0.000, 0.004), Pm at (0.000, 0.500, 0.000), Pm at (0.146, 0.500, 0.665), Th at (0.025, 0.000, 0.338) and Th at (0.184, 0.500, 0.342).

A relaxed LaPm5Th crystal. Source: Alexandria via LeMat-Bulk, functional PBE.

As for the magnetization: 0.0 Bohr magnetons per cell. Its density of states at the Fermi level is 9.3 states/eV/f.u. The formation energy comes out at 0.31 eV/atom. The calculation puts the final energy at -4.8432 eV/atom.

The structure belongs to space group P4/mmm (No. 123); the cell edges are 5.748, 5.748 and 7.889 Å and the angles 90.00°, 90.00° and 90.00°. The inequivalent atoms are La at (0.000, 0.000, 0.000), Pm at (0.000, 0.500, 0.283), Pm at (0.500, 0.500, 0.000) and Th at (0.000, 0.000, 0.500).

A relaxed La5Pm4Th crystal. Source: Alexandria via LeMat-Bulk, functional PBE.

The calculation puts the distance to the lowest polymorph of the same formula at 0 meV/atom. As for the magnetization: 0.0 Bohr magnetons per cell. Its density of states at the Fermi level is 18.8 states/eV/f.u. The formation energy comes out at 0.03 eV/atom. The calculation puts the final energy at -5.0795 eV/atom.

The structure belongs to space group P4/mmm (No. 123); the cell edges are 3.680, 3.680 and 26.177 Å and the angles 90.00°, 90.00° and 90.00°. The inequivalent atoms are La at (0.000, 0.000, 0.000), La at (0.000, 0.000, 0.200), La at (0.000, 0.000, 0.406), Pm at (0.500, 0.500, 0.100), Pm at (0.500, 0.500, 0.299) and Th at (0.500, 0.500, 0.500).

A relaxed La8Pm2Th3 crystal. Source: Alexandria via LeMat-Bulk, functional PBE.

As for the magnetization: 0.0 Bohr magnetons per cell. Its density of states at the Fermi level is 21.4 states/eV/f.u. The formation energy comes out at 0.20 eV/atom. The calculation puts the final energy at -5.2724 eV/atom.

The structure belongs to space group C2/m (No. 12); the cell edges are 10.093, 11.181 and 8.921 Å and the angles 90.00°, 112.66° and 90.00°. The inequivalent atoms are La at (0.088, 0.000, 0.342), La at (0.100, 0.500, 0.219), La at (0.162, 0.241, 0.682), Pm at (0.232, 0.000, 0.046), Th at (0.000, 0.241, 0.000) and Th at (0.000, 0.500, 0.500).

A relaxed La4PmTh crystal. Source: Alexandria via LeMat-Bulk, functional PBE.

The calculation puts the distance to the lowest polymorph of the same formula at 0 meV/atom. As for the magnetization: 0.0 Bohr magnetons per cell. Its density of states at the Fermi level is 11.5 states/eV/f.u. The formation energy comes out at 0.17 eV/atom. The calculation puts the final energy at -5.1426 eV/atom.

The structure belongs to space group C2/m (No. 12); the cell edges are 11.732, 3.529 and 11.733 Å and the angles 90.00°, 117.93° and 90.00°. The inequivalent atoms are La at (0.155, 0.000, 0.344), La at (0.164, 0.500, 0.838), Pm at (0.000, 0.000, 0.000) and Th at (0.000, 0.500, 0.500).

A relaxed LaPm14Th crystal. Source: Alexandria via LeMat-Bulk, functional PBE.

As for the magnetization: 0.0 Bohr magnetons per cell. Its density of states at the Fermi level is 25.1 states/eV/f.u. The formation energy comes out at 0.03 eV/atom. The calculation puts the final energy at -4.9035 eV/atom.

The structure belongs to space group Amm2 (No. 38); the cell edges are 10.354, 10.324 and 10.325 Å and the angles 90.00°, 90.00° and 90.00°. The inequivalent atoms are La at (0.000, 0.000, 0.000), Pm at (0.000, 0.250, 0.250), Pm at (0.249, 0.000, 0.254), Pm at (0.249, 0.000, 0.746), Pm at (0.249, 0.246, 0.500), Pm at (0.500, 0.000, 0.000), Pm at (0.500, 0.000, 0.500), Pm at (0.500, 0.250, 0.250) and Th at (0.000, 0.000, 0.500).

A relaxed LaPm2Th crystal. Source: Alexandria via LeMat-Bulk, functional PBE.

The calculation puts the distance to the lowest polymorph of the same formula at 4 meV/atom. As for the magnetization: 0.0 Bohr magnetons per cell. Its density of states at the Fermi level is 5.1 states/eV/f.u. The formation energy comes out at 0.03 eV/atom. The calculation puts the final energy at -5.4335 eV/atom.

The structure belongs to space group P4/mmm (No. 123); the cell edges are 3.618, 3.618 and 10.542 Å and the angles 90.00°, 90.00° and 90.00°. The inequivalent atoms are La at (0.000, 0.000, 0.000), Pm at (0.500, 0.500, 0.266) and Th at (0.000, 0.000, 0.500).

A relaxed LaPm2Th crystal. Source: Alexandria via LeMat-Bulk, functional PBE.

The calculation puts the distance to the lowest polymorph of the same formula at 84 meV/atom. As for the magnetization: 0.0 Bohr magnetons per cell. Its density of states at the Fermi level is 5.8 states/eV/f.u. The formation energy comes out at 0.11 eV/atom. The calculation puts the final energy at -5.3534 eV/atom.

The structure belongs to space group R-3m (No. 166, hexagonal axes); the cell edges are 3.5728, 3.5728 and 37.8109 Å and the angles 90.00°, 90.00° and 120.00°. The inequivalent atoms are La at (0.0000, 0.0000, 0.0000), Pm at (0.0000, 0.0000, 0.0917) and Th at (0.0000, 0.0000, 0.5000).

A relaxed La4Pm2Th crystal. Source: Alexandria via LeMat-Bulk, functional PBE.

The calculation puts the distance to the lowest polymorph of the same formula at 0 meV/atom. As for the magnetization: 0.0 Bohr magnetons per cell. Its density of states at the Fermi level is 9.7 states/eV/f.u. The formation energy comes out at 0.07 eV/atom. The calculation puts the final energy at -5.1587 eV/atom.

The structure belongs to space group R-3m (No. 166, hexagonal axes); the cell edges are 3.6338, 3.6338 and 65.8419 Å and the angles 90.00°, 90.00° and 120.00°. The inequivalent atoms are La at (0.0000, 0.0000, 0.1415), La at (0.0000, 0.0000, 0.2896), Pm at (0.0000, 0.0000, 0.2365) and Th at (0.0000, 0.0000, 0.0000).

A relaxed La7Pm12Th crystal. Source: Alexandria via LeMat-Bulk, functional PBE.

The calculation puts the distance to the lowest polymorph of the same formula at 0 meV/atom. As for the magnetization: 0.0 Bohr magnetons per cell. Its density of states at the Fermi level is 33.5 states/eV/f.u. The formation energy comes out at 0.21 eV/atom. The calculation puts the final energy at -4.7392 eV/atom.

The structure belongs to space group R-3 (No. 148, hexagonal axes); the cell edges are 12.7169, 12.7169 and 15.2202 Å and the angles 90.00°, 90.00° and 120.00°. The inequivalent atoms are La at (0.0000, 0.0000, 0.0000), La at (0.0602, 0.1918, 0.3142), Pm at (0.0252, 0.4406, 0.2229), Pm at (0.0655, 0.8332, 0.8949) and Th at (0.0000, 0.0000, 0.5000).

A relaxed La5Pm6Th2 crystal. Source: Alexandria via LeMat-Bulk, functional PBE.

As for the magnetization: 0.0 Bohr magnetons per cell. Its density of states at the Fermi level is 18.3 states/eV/f.u. The formation energy comes out at 0.10 eV/atom. The calculation puts the final energy at -5.1287 eV/atom.

The structure belongs to space group Pbam (No. 55); the cell edges are 11.789, 21.460 and 3.662 Å and the angles 90.00°, 90.00° and 90.00°. The inequivalent atoms are La at (0.000, 0.000, 0.000), La at (0.059, 0.295, 0.000), La at (0.190, 0.583, 0.000), Pm at (0.064, 0.149, 0.500), Pm at (0.083, 0.439, 0.500), Pm at (0.185, 0.875, 0.000) and Th at (0.193, 0.735, 0.500).